# 1
An optimized crystal structure of SmYP2Rh5, computed with GGA-PBE.

Calculated formation energy: -0.7494 eV per atom
Total energy: -7.278 eV/atom
Crystal system: tetragonal
Symmetry: P4/mmm, No. 123

POSCAR file:
```
SmYP2Rh5
1.0
4.046 0.000 0.000
0.000 4.046 0.000
0.000 0.000 10.757
Sm Y P Rh
1 1 2 5
direct
0.000 0.000 0.000 Sm
0.000 0.000 0.500 Y
0.500 0.500 0.211 P
0.500 0.500 0.789 P
0.000 0.500 0.303 Rh
0.000 0.500 0.697 Rh
0.500 0.000 0.303 Rh
0.500 0.000 0.697 Rh
0.500 0.500 0.000 Rh
```

---

# 2
An optimized crystal structure of Sm2ZnP3Rh12, computed with GGA-PBE.

Calculated formation energy: -0.2657 eV per atom
Total energy: -6.663 eV/atom
Crystal system: trigonal
Symmetry: R-3m, No. 166

POSCAR file:
```
Sm2ZnP3Rh12
1.0
4.429 2.557 4.325
-4.429 2.557 4.325
0.000 -5.114 4.325
Sm Zn P Rh
2 1 3 12
direct
0.125 0.125 0.125 Sm
0.875 0.875 0.875 Sm
0.500 0.500 0.500 Zn
0.000 0.500 0.500 P
0.500 0.000 0.500 P
0.500 0.500 0.000 P
0.134 0.134 0.591 Rh
0.134 0.591 0.134 Rh
0.173 0.671 0.671 Rh
0.329 0.329 0.827 Rh
0.329 0.827 0.329 Rh
0.409 0.866 0.866 Rh
0.591 0.134 0.134 Rh
0.671 0.173 0.671 Rh
0.671 0.671 0.173 Rh
0.827 0.329 0.329 Rh
0.866 0.409 0.866 Rh
0.866 0.866 0.409 Rh
```

---

# 3
An optimized crystal structure of Sm2ZnP3Rh4, computed with GGA-PBE.

Calculated formation energy: -1.0054 eV per atom
Total energy: -6.640 eV/atom
Crystal system: tetragonal
Symmetry: P-4m2, No. 115

POSCAR file:
```
Sm2ZnP3Rh4
1.0
4.098 0.000 0.000
0.000 4.098 0.000
0.000 0.000 9.941
Sm Zn P Rh
2 1 3 4
direct
0.000 0.500 0.248 Sm
0.500 0.000 0.752 Sm
0.500 0.500 0.000 Zn
0.000 0.000 0.000 P
0.000 0.500 0.635 P
0.500 0.000 0.365 P
0.000 0.000 0.500 Rh
0.000 0.500 0.866 Rh
0.500 0.000 0.134 Rh
0.500 0.500 0.500 Rh
```

---

# 4
An optimized crystal structure of SmZnP2Rh5, computed with GGA-PBE.

Calculated formation energy: -0.6060 eV per atom
Total energy: -6.558 eV/atom
Crystal system: tetragonal
Symmetry: P4/mmm, No. 123

POSCAR file:
```
SmZnP2Rh5
1.0
4.099 0.000 0.000
0.000 4.099 0.000
0.000 0.000 9.441
Sm Zn P Rh
1 1 2 5
direct
0.000 0.000 0.000 Sm
0.000 0.000 0.500 Zn
0.500 0.500 0.238 P
0.500 0.500 0.762 P
0.000 0.500 0.339 Rh
0.000 0.500 0.661 Rh
0.500 0.000 0.339 Rh
0.500 0.000 0.661 Rh
0.500 0.500 0.000 Rh
```

---

# 5
An optimized crystal structure of Sm2ZrP3Rh12, computed with GGA-PBE.

Calculated formation energy: -0.3401 eV per atom
Total energy: -7.142 eV/atom
Crystal system: trigonal
Symmetry: R-3m, No. 166

POSCAR file:
```
Sm2ZrP3Rh12
1.0
4.458 2.574 4.320
-4.458 2.574 4.320
0.000 -5.148 4.320
Sm Zr P Rh
2 1 3 12
direct
0.124 0.124 0.124 Sm
0.876 0.876 0.876 Sm
0.500 0.500 0.500 Zr
0.000 0.500 0.500 P
0.500 0.000 0.500 P
0.500 0.500 0.000 P
0.137 0.137 0.587 Rh
0.137 0.587 0.137 Rh
0.167 0.676 0.676 Rh
0.324 0.324 0.833 Rh
0.324 0.833 0.324 Rh
0.413 0.863 0.863 Rh
0.587 0.137 0.137 Rh
0.676 0.167 0.676 Rh
0.676 0.676 0.167 Rh
0.833 0.324 0.324 Rh
0.863 0.413 0.863 Rh
0.863 0.863 0.413 Rh
```

---

# 6
An optimized crystal structure of Sn3PRh, computed with GGA-PBE.

Polymorph energy (0 for the lowest one): 0.612 eV/atom
Calculated formation energy: 0.7908 eV per atom
Total energy: -4.163 eV/atom
Crystal system: cubic
Symmetry: Pm-3m, No. 221

POSCAR file:
```
Sn3PRh
1.0
5.042 0.000 0.000
0.000 5.042 0.000
0.000 0.000 5.042
Sn P Rh
3 1 1
direct
0.000 0.000 0.500 Sn
0.000 0.500 0.000 Sn
0.500 0.000 0.000 Sn
0.000 0.000 0.000 P
0.500 0.500 0.500 Rh
```

---

Which of these has the lowest total energy?
SmYP2Rh5

---

Which value of calculated formation energy does entry 2 give?
-0.2657 eV per atom

---

Which value of total energy does entry 5 give?
-7.142 eV/atom